Here is a relaxed PmErRhAu crystal from the Alexandria database. Energies are from PBE.

Lattice parameters (Å, degrees): 5.0215 5.0215 5.0215 60.00 60.00 60.00
Last column: nearest neighbours and their distance in Å.
Fractional coordinates of all 4 atoms:
Au: 0.0000 0.0000 0.0000  4 Er 3.08, 4 Pm 3.08
Rh: 0.5000 0.5000 0.5000  4 Er 3.08, 4 Pm 3.08
Er: 0.2500 0.2500 0.2500  4 Rh 3.08, 4 Au 3.08
Pm: 0.7500 0.7500 0.7500  4 Rh 3.08, 4 Au 3.08

Output
The value obtained for the formation energy from the elements is -778 meV/atom. The space group is F-43m. As for the calculated density: 11.35 g/cm3.